A relaxed structure of LiHo3Th4Te8, computed with PBE.

Output
Its total DFT energy (no corrections) is -5.541 eV per atom. The formation energy without anion corrections is -1754.9 kJ/mol of formula units. The calculation puts the total moment at 0.000 μB/atom. For the volume, the calculation gives 29.76 Å³ per atom. The density of states at the Fermi level is 10.56 states/eV per cell.

a b c (Å): 8.4012 9.1775 8.4016
angles (deg): 117.24 120.00 90.00
Positions (direct):
1 Li 0.0000 0.5000 0.0000
2 Ho 0.5000 0.5000 0.0000
3 Ho 0.5000 0.5000 0.5000
4 Ho 0.0000 0.5000 0.5000
5 Th 0.5000 0.0000 0.0000
6 Th 0.5000 0.0000 0.5000
7 Th 0.0000 0.0000 0.0000
8 Th 0.0000 0.0000 0.5000
9 Te 0.2386 0.7291 0.9905
10 Te 0.2386 0.7291 0.4771
11 Te 0.2550 0.2651 0.5100
12 Te 0.7519 0.7291 0.9905
13 Te 0.2481 0.2709 0.0095
14 Te 0.7450 0.7349 0.4900
15 Te 0.7614 0.2709 0.5229
16 Te 0.7614 0.2709 0.0095